Record 1
Below is a relaxed Tb4Ag3Ru crystal, with properties calculated at the PBE level.

Summary:
* total energy: -4.8817 eV/atom
* DFT formation energy: -2.70 eV/f.u.

Unit cell a=3.528 b=3.528 c=14.887 alpha=90.00 beta=90.00 gamma=90.00
Space group P4/mmm (No. 123)
Unique sites:
Tb (0.000, 0.000, 0.111)
Tb (0.000, 0.000, 0.372)
Ag (0.500, 0.500, 0.245)
Ag (0.500, 0.500, 0.500)
Ru (0.500, 0.500, 0.000)



Record 2
Below is a relaxed Tb12AgRu6 crystal, with properties calculated at the PBE level.

Summary:
* total energy: -6.2598 eV/atom
* DFT formation energy: -4.87 eV/f.u.
* energy above the lowest structure with this stoichiometry: 0 meV per atom

Unit cell a=9.844 b=9.844 c=9.844 alpha=90.00 beta=90.00 gamma=90.00
Space group Im-3 (No. 204)
Unique sites:
Tb (0.000, 0.296, 0.196)
Ag (0.000, 0.000, 0.000)
Ru (0.000, 0.124, 0.500)



Record 3
Below is a relaxed Tb5Ag4Ru crystal, with properties calculated at the PBE level.

Summary:
* total energy: -4.7153 eV/atom
* DFT formation energy: -3.32 eV/f.u.

Unit cell a=3.550 b=3.550 c=18.547 alpha=90.00 beta=90.00 gamma=90.00
Space group P4/mmm (No. 123)
Unique sites:
Tb (0.000, 0.000, 0.000)
Tb (0.000, 0.000, 0.204)
Tb (0.000, 0.000, 0.411)
Ag (0.500, 0.500, 0.102)
Ag (0.500, 0.500, 0.305)
Ru (0.500, 0.500, 0.500)



Record 4
Below is a relaxed Tb12Ag6Ru crystal, with properties calculated at the PBE level.

Summary:
* total energy: -4.4307 eV/atom
* DFT formation energy: -2.24 eV/f.u.

Unit cell a=11.6726 b=11.6726 c=13.3412 alpha=90.00 beta=90.00 gamma=120.00
Space group R-3 (No. 148, hexagonal axes)
Unique sites:
Tb (0.0295, 0.1884, 0.3675)
Tb (0.0463, 0.8497, 0.8946)
Ag (0.0056, 0.4040, 0.2333)
Ru (0.0000, 0.0000, 0.5000)